# 1
GdAgSnSe2S | OQMD | PBE | optimized geometry; E_tot = -4.685 eV per atom; SG = No. 63
1.0
-1.3756 -2.0222 -6.6502
1.1235 -2.1096 6.6703
-10.1918 0.6312 1.9162
Ag Gd S Se Sn
2 2 2 4 2
Cartesian
-2.6057 -1.9105 0.8530
-7.8382 -1.5901 1.0834
0.0000 0.0000 0.0000
-5.0959 0.3156 0.9581
-1.6437 -1.9441 5.9810
-8.8002 -1.5565 -4.0446
-0.3095 -2.0446 2.0828
-4.2998 -1.7975 2.8331
-6.1441 -1.7031 -0.8967
-10.1344 -1.4560 -0.1465
-3.2787 -1.8870 -2.7343
-7.1652 -1.6137 4.6707

# 2
Sc2ZnCo | OQMD | PBE | optimized geometry; calculated formation energy = -0.074 eV per atom; SG = No. 38
1.0
-2.7451 -2.3435 2.4723
2.9689 -5.0677 -1.5071
4.6899 -2.0924 3.2241
Co Sc Zn
2 4 2
Cartesian
3.9420 -4.8792 -0.2480
4.8384 -3.3294 2.2164
0.0081 -2.4625 1.5457
1.5657 -5.0395 0.8324
2.4073 -3.5846 3.1460
6.0743 -5.6788 1.3617
2.6135 -2.4434 0.5859
3.6957 -5.9100 2.3724

# 3
CoSiN2 | OQMD | PBE | optimized geometry; E_tot = -7.678 eV per atom; SG = No. 122
1.0
1.3079 -1.6450 4.6568
1.6702 4.0871 2.5708
-4.3294 -0.6819 -2.6256
Co N Si
2 4 2
Cartesian
0.0000 0.0000 0.0000
-0.7662 -0.5530 2.8225
1.6643 0.2296 5.0365
-0.1824 1.2785 3.1231
-1.9134 -0.1289 -0.3280
-2.2711 2.1410 1.3723
1.4890 1.2210 3.6138
-0.5851 2.3131 1.7795

# 4
ZnBi6P2O15 | OQMD | PBE | optimized geometry; E_tot = -6.219 eV per atom; SG = No. 5
1.0
0.0000 5.4294 0.0000
-4.1785 -2.7147 -6.3173
-11.2743 0.0000 12.6147
Bi O P Zn
12 30 4 2
Cartesian
-4.3972 -1.6608 -4.4335
-1.8415 3.7499 -0.0897
-3.9217 1.1427 1.2698
-6.8483 1.2660 -2.6924
-6.1875 3.6995 2.2682
-4.8323 1.0485 4.8221
-10.6205 -1.6662 1.4753
-9.2653 0.9847 4.0293
-8.6045 3.9807 8.9898
-11.5311 -1.5719 5.0277
-13.6113 1.0352 6.3871
-11.0556 1.0539 10.7309
0.0000 2.4467 0.0000
0.0000 5.1103 0.0000
-2.8583 0.9468 -3.6893
-2.4758 1.0581 -1.1183
-4.3798 -0.3055 -2.1306
-4.4871 2.1872 -2.2038
-2.0547 2.3490 1.6955
-2.0414 5.0825 1.7714
-4.6060 3.3305 0.7262
-6.9237 -2.0933 -1.7369
-4.6246 2.2479 3.0609
-4.6267 -0.4093 3.1006
-6.2941 0.3418 0.7351
-8.3934 0.5249 -0.6561
-7.9994 2.2260 1.1938
-8.4835 -0.1941 1.8138
-6.9693 2.5206 4.4837
-7.4534 -0.4886 5.1036
-7.0594 3.2396 6.9535
-9.1587 3.0565 5.5624
-10.8261 2.3054 3.1968
-10.8282 -0.4668 3.2366
-8.5291 0.6214 8.0343
-10.8468 0.6158 5.5712
-13.4114 2.3678 4.5260
-13.3981 -0.3657 4.6019
-10.9657 -0.5275 8.5012
-11.0731 2.4092 8.4281
-12.9771 -1.6566 7.4157
-12.5945 3.6615 9.9867
-3.4883 0.9784 -2.2981
-7.8063 0.7536 0.7722
-7.6466 3.4682 5.5252
-11.9645 3.6931 8.5955
-5.2288 -1.6636 -0.9964
-10.2241 1.0511 7.2939

# 5
TbTlHg3Te4 | OQMD | PBE | optimized geometry; ΔE to the lowest computed polymorph = 0.00 eV/f.u.; SG = No. 215
1.0
-3.9099 -4.1843 -4.4289
5.8513 -4.0458 -1.3433
-1.6987 -4.3051 5.5669
Hg Tb Te Tl
3 1 4 1
Cartesian
0.9707 -4.1150 -2.8861
-2.8043 -4.2447 0.5690
2.0763 -4.1754 2.1118
0.1214 -6.2676 -0.1026
0.0648 -3.3474 -0.0548
0.9694 -7.1819 -2.7442
-2.5483 -7.3028 0.4754
1.9996 -7.2382 1.9130
0.0000 0.0000 0.0000

# 6
Na2Pr | OQMD | PBE | optimized geometry; ΔE to the lowest computed polymorph = 0.00 eV/f.u.; SG = No. 227
1.0
-5.5264 -3.3134 0.5519
-5.5903 3.1482 0.8133
-4.3517 0.1504 -4.7817
Na Pr
4 2
Cartesian
-1.9336 -0.0018 -0.4271
-4.6968 -1.6585 -0.1511
-4.7287 1.5723 -0.0204
-4.1094 0.0733 -2.8179
-7.7343 -0.0074 -1.7082
-11.6014 -0.0111 -2.5624

# 7
Zr4NbCd2 | OQMD | PBE | optimized geometry; calculated formation energy = 0.245 eV per atom; SG = No. 111
1.0
-1.9258 4.5382 3.2856
0.3195 -3.3796 4.8554
4.3073 1.3518 0.6575
Cd Nb Zr
2 1 4
Cartesian
-0.9629 2.2691 1.6428
0.1597 -1.6898 2.4277
0.0000 0.0000 0.0000
1.7562 0.9527 2.2934
0.9257 1.5517 6.5022
0.7795 3.3049 3.9949
1.9403 -0.7886 4.8065

# 8
TmSnHgTe3 | OQMD | PBE | optimized geometry; E_tot = -3.627 eV per atom; SG = No. 63
1.0
2.1471 -7.6887 0.0000
2.1471 7.6887 0.0000
0.0000 0.0000 12.1185
Hg Sn Te Tm
2 2 6 2
Cartesian
2.1471 -3.2506 3.0296
2.1471 3.2506 9.0889
2.1471 2.1161 3.0296
2.1471 -2.1161 9.0889
2.1471 -2.1435 0.0741
2.1471 7.6833 3.0296
2.1471 -2.1435 5.9852
2.1471 2.1435 6.1333
2.1471 -7.6833 9.0889
2.1471 2.1435 12.0444
0.0000 0.0000 0.0000
0.0000 0.0000 6.0592